{"formula": "DyCuSb2", "functional": "PBE", "state": "relaxed", "lattice": [[-3.1953, -2.8974, -0.3072], [2.8633, -3.2082, 0.4791], [-1.2708, 0.3468, 9.6938]], "species": ["Dy", "Dy", "Cu", "Cu", "Sb", "Sb", "Sb", "Sb"], "fractional_positions": [[0.7489, 0.7521, 0.7496], [0.2511, 0.2478, 0.2504], [0.7460, 0.2438, 0.0001], [0.2540, 0.7561, 0.0000], [0.7499, 0.2503, 0.5000], [0.7523, 0.7460, 0.1614], [0.2500, 0.7502, 0.5000], [0.2477, 0.2538, 0.8386]], "sg": "P-1, No. 2", "formation_energy_uncorrected_mev_per_atom": -613}

=====

{"formula": "DyCuSb", "functional": "PBE", "state": "relaxed", "lattice": [[4.0658, 0.0000, 0.0000], [0.0000, 4.0658, 0.0000], [-2.0329, -2.0329, 4.2731]], "species": ["Dy", "Cu", "Sb"], "fractional_positions": [[0.6114, 0.6114, 0.2229], [0.2750, 0.2750, 0.5500], [0.9636, 0.9636, 0.9272]], "sg": "I4mm, No. 107", "formation_energy_uncorrected_mev_per_atom": -306}